Version P
! CuTc2Pt (PBE, optimized geometry); values from VASP
! Space group: F-43m (216)
! Magnetization, μB per cell: 1.01
&SYSTEM
  ibrav = 0, nat = 4, ntyp = 3
/
ATOMIC_SPECIES
Pt 195.08 Pt.upf
Tc 98.00 Tc.upf
Cu 63.55 Cu.upf
ATOMIC_POSITIONS angstrom
Pt 2.172 1.254 0.887
Tc 6.516 3.762 2.660
Cu 4.344 2.508 1.774
Tc 0.000 0.000 0.000
CELL_PARAMETERS angstrom
4.344 0.000 0.000
2.172 3.762 0.000
2.172 1.254 3.547



Version Q
! CuTc2Pt (PBE, optimized geometry); values from VASP
! Space group: Cmmm (65)
! Magnetization, μB per cell: 0.00
&SYSTEM
  ibrav = 0, nat = 4, ntyp = 3
/
ATOMIC_SPECIES
Tc 98.00 Tc.upf
Pt 195.08 Pt.upf
Cu 63.55 Cu.upf
ATOMIC_POSITIONS angstrom
Tc 0.000 0.000 0.000
Pt 1.760 2.157 0.002
Tc 3.520 0.326 1.141
Cu -0.538 2.482 1.140
CELL_PARAMETERS angstrom
5.818 0.001 0.003
-2.298 4.313 0.000
1.222 0.650 2.279



Version R
! CuTc2Pt (PBE, optimized geometry); values from VASP
! Space group: Cm (8)
! Magnetization, μB per cell: 0.00
&SYSTEM
  ibrav = 0, nat = 4, ntyp = 3
/
ATOMIC_SPECIES
Tc 98.00 Tc.upf
Cu 63.55 Cu.upf
Pt 195.08 Pt.upf
ATOMIC_POSITIONS angstrom
Tc 2.286 0.684 1.141
Cu 4.639 1.388 2.419
Pt 6.946 2.078 3.491
Tc 0.068 0.020 0.092
CELL_PARAMETERS angstrom
4.693 0.013 -0.007
3.929 2.566 -0.007
0.670 0.200 4.776



Which of them is the most stable? Correct choice: version R.